# SrPmTe2, relaxed, DFT PBE
# theoretical density: 5.86 g/cm3
# E above lowest polymorph: 1.321 kcal/mol of atoms
# V: 34.6 Å³/atom
data_SrPmTe2
_chemical_formula_sum 'Sr3 Pm3 Te6'
_cell_length_a 4.4629
_cell_length_b 4.4629
_cell_length_c 24.0492
_cell_angle_alpha 90.00
_cell_angle_beta 90.00
_cell_angle_gamma 120.00
_space_group_name_H-M_alt 'R 3 m'
_space_group_IT_number 160
_space_group_name_Hall 'R 3 -2"'
loop_
_atom_site_label
_atom_site_type_symbol
_atom_site_fract_x
_atom_site_fract_y
_atom_site_fract_z
Sr1 Sr 0.0000 0.0000 0.0000
Pm1 Pm 0.0000 0.0000 0.1725
Te1 Te 0.0000 0.0000 0.5821
Te2 Te 0.0000 0.0000 0.7586